1.
Below is crystalline NpCo2H7 at its relaxed geometry, with properties calculated at the PBE-GGA level.

total DFT energy (no corrections) = -5.13 eV per atom
crystal system = orthorhombic

extended XYZ file:
```
10
Lattice="3.370 0.000 0.000 0.000 4.241 -2.314 0.000 -0.064 4.925" Properties=species:S:1:pos:R:3 pbc="T T T"
Np 0.000 0.000 0.000
Co 1.685 1.295 2.373
Co 1.685 2.882 0.238
H 0.000 1.317 2.414
H 0.000 2.859 0.197
H 1.685 1.365 0.715
H 1.685 2.811 1.896
H 1.685 0.073 3.390
H 1.685 4.103 -0.779
H 1.685 2.120 -1.157
```

---

2.
Below is crystalline NpCoH5 at its relaxed geometry, with properties calculated at the PBE-GGA level.

total DFT energy (no corrections) = -5.43 eV per atom
crystal system = orthorhombic

extended XYZ file:
```
14
Lattice="4.078 0.597 1.274 1.019 3.994 1.274 0.895 0.806 7.209" Properties=species:S:1:pos:R:3 pbc="T T T"
Np 3.220 2.900 6.681
Np 2.772 2.497 3.076
Co 0.000 0.000 0.000
Co 0.448 0.403 3.604
H 3.476 4.641 8.307
H 3.029 4.238 4.703
H 4.530 2.570 4.702
H 4.749 1.202 6.681
H 1.014 2.423 1.450
H 4.978 2.974 8.307
H 1.243 4.195 3.076
H 1.461 2.826 5.055
H 2.963 1.159 5.055
H 2.516 0.756 1.450
```

---

3.
Below is crystalline NpCoH6 at its relaxed geometry, with properties calculated at the PBE-GGA level.

total DFT energy (no corrections) = -5.17 eV per atom
crystal system = trigonal

extended XYZ file:
```
8
Lattice="3.800 0.000 1.985 1.382 3.540 1.985 0.136 0.093 4.369" Properties=species:S:1:pos:R:3 pbc="T T T"
Np 2.659 1.817 4.170
Co 0.000 0.000 0.000
H 4.773 3.261 6.942
H 2.977 3.261 6.004
H 1.198 2.046 2.336
H 2.341 0.373 2.336
H 0.546 0.373 1.398
H 4.120 1.588 6.004
```

---

4.
Below is crystalline NpCoH4 at its relaxed geometry, with properties calculated at the PBE-GGA level.

total DFT energy (no corrections) = -5.59 eV per atom
relative energy among the computed polymorphs = 0 meV/atom
crystal system = monoclinic

extended XYZ file:
```
12
Lattice="-2.949 2.861 0.743 -1.761 -0.284 -3.727 -0.794 -4.995 3.262" Properties=species:S:1:pos:R:3 pbc="T T T"
Np -2.081 0.028 -1.417
Np -3.423 -2.446 1.696
Co -2.177 -3.251 -0.906
Co -3.327 0.833 1.185
H -0.496 -0.565 0.010
H -1.842 0.979 0.847
H -2.001 -1.888 -0.006
H -3.504 -0.530 0.285
H -2.906 -2.060 -1.855
H -3.662 -3.397 -0.568
H -2.598 -0.358 2.134
H -5.008 -1.853 0.269
```

---

5.
Below is crystalline NpCo2H8 at its relaxed geometry, with properties calculated at the PBE-GGA level.

total DFT energy (no corrections) = -4.94 eV per atom
crystal system = orthorhombic

extended XYZ file:
```
11
Lattice="-2.940 1.836 1.339 0.647 -1.970 4.119 2.134 4.006 -0.810" Properties=species:S:1:pos:R:3 pbc="T T T"
Np -1.470 0.918 0.669
Co 1.647 2.048 0.805
Co 1.134 -0.011 2.503
H -0.843 2.674 4.788
H -0.418 4.378 3.382
H 0.670 1.471 1.985
H -0.368 0.776 3.281
H 0.209 3.097 1.366
H -0.829 2.401 2.661
H 0.259 -0.506 1.265
H 0.683 1.199 -0.141
```

---

6.
Below is crystalline NpCo2H6 at its relaxed geometry, with properties calculated at the PBE-GGA level.

total DFT energy (no corrections) = -5.42 eV per atom
crystal system = hexagonal

extended XYZ file:
```
9
Lattice="4.095 0.000 0.000 0.000 3.743 -2.161 0.000 0.000 4.322" Properties=species:S:1:pos:R:3 pbc="T T T"
Np 0.000 0.000 0.000
Co 2.048 1.248 2.161
Co 2.048 2.495 0.000
H 3.123 0.000 2.161
H 3.123 1.872 -1.081
H 0.972 0.000 2.161
H 0.972 1.872 1.081
H 0.972 1.871 -1.080
H 3.123 1.871 1.080
```

---

7.
Below is crystalline Np3Co5H12 at its relaxed geometry, with properties calculated at the PBE-GGA level.

total DFT energy (no corrections) = -5.73 eV per atom
crystal system = cubic

extended XYZ file:
```
80
Lattice="-6.480 -7.105 -0.777 6.157 -0.437 -7.415 4.860 -0.971 8.278" Properties=species:S:1:pos:R:3 pbc="T T T"
Np -1.944 -5.614 -2.329
Np -0.445 -6.667 -5.207
Np 5.225 -3.600 -0.679
Np 0.972 -2.195 1.983
Np -3.686 -6.515 0.462
Np 2.633 -3.181 -2.856
Np 1.904 -5.333 2.942
Np 8.223 -2.000 -0.377
Np 3.565 -6.319 -1.898
Np -0.688 -4.914 0.764
Np 4.982 -1.848 5.292
Np 6.481 -2.900 2.414
Co 2.714 -1.295 -0.808
Co 3.079 -0.219 -3.707
Co 0.000 0.000 0.000
Co -0.283 -2.895 -1.111
Co -0.810 -4.038 3.750
Co -0.162 -3.771 -4.096
Co 5.630 -1.581 -2.554
Co 0.162 -6.234 5.733
Co 0.811 -5.967 -2.113
Co 1.985 -3.448 4.990
Co 2.552 -5.066 -4.904
Co 2.269 -4.257 0.043
Co -3.240 -3.553 -0.389
Co 2.430 -0.486 4.139
Co 3.726 -2.548 2.199
Co 4.375 -2.280 -5.648
Co 5.509 -0.704 0.431
Co -1.093 -6.934 2.639
Co 4.820 -5.619 1.196
Co 1.823 -7.219 0.894
H -3.802 -4.919 -1.180
H 3.036 -2.920 -0.615
H -2.413 -7.527 -1.153
H -1.685 -3.788 -0.966
H 3.695 -5.137 0.063
H -1.944 -7.473 -3.672
H 4.923 -3.054 -2.885
H 5.512 -1.121 -6.027
H 5.580 -5.271 -2.208
H 0.040 -5.297 -3.433
H -0.295 -6.396 -0.941
H 0.319 -6.258 -7.329
H 6.062 -1.482 -0.946
H 0.351 -3.130 -2.635
H 7.001 -1.417 -3.492
H 0.788 -3.540 3.832
H 1.415 -0.884 0.154
H 1.410 -3.874 -4.668
H 1.808 -6.555 -4.794
H 2.337 -0.954 -2.397
H 7.453 -4.090 -0.920
H 1.864 -4.841 -1.475
H 1.634 -7.332 -2.605
H 1.142 -6.817 4.516
H 2.673 -3.673 1.560
H 2.903 -1.182 2.690
H 3.395 -1.697 -4.430
H 2.729 -1.959 4.880
H -2.916 -4.425 1.005
H 2.200 -7.560 2.482
H 3.127 -4.640 4.753
H 3.749 -4.975 -3.746
H 3.122 -7.630 -0.069
H -2.464 -7.097 3.577
H -1.525 -7.032 1.031
H 4.218 -2.257 7.415
H 4.186 -5.384 2.721
H -1.043 -3.243 2.294
H 4.497 -3.217 3.518
H 4.832 -2.118 1.026
H -0.975 -7.393 6.113
H -0.386 -5.460 2.970
H 6.222 -4.726 1.051
H 6.481 -1.041 3.757
H 0.842 -3.378 0.022
H 6.950 -0.987 1.239
H 1.501 -5.594 0.700
H 8.339 -3.595 1.266
```

---

8.
Below is crystalline NpCo3H6 at its relaxed geometry, with properties calculated at the PBE-GGA level.

total DFT energy (no corrections) = -5.50 eV per atom
crystal system = trigonal

extended XYZ file:
```
10
Lattice="3.922 0.000 -2.102 -2.524 3.664 0.000 0.281 0.194 5.235" Properties=species:S:1:pos:R:3 pbc="T T T"
Np 0.971 3.371 1.813
Co 1.824 1.256 -1.306
Co -0.323 2.479 -0.602
Co 0.370 0.255 0.691
H 0.547 1.740 3.362
H -1.119 2.670 0.981
H 3.006 0.391 -0.388
H -0.733 3.555 3.378
H 2.515 1.713 2.317
H 1.054 1.668 0.187
```

---

9.
Below is crystalline Np2CoH4 at its relaxed geometry, with properties calculated at the PBE-GGA level.

total DFT energy (no corrections) = -6.67 eV per atom
crystal system = tetragonal

extended XYZ file:
```
7
Lattice="3.209 0.000 0.000 0.000 3.209 0.000 1.605 1.605 7.009" Properties=species:S:1:pos:R:3 pbc="T T T"
Np 1.605 1.605 1.979
Np 3.209 3.209 5.030
H 1.605 1.605 4.282
H 3.209 3.209 2.727
H 0.000 1.605 0.000
H 1.605 0.000 0.000
Co 0.000 0.000 0.000
```

---

10.
Below is crystalline NpCo2H9 at its relaxed geometry, with properties calculated at the PBE-GGA level.

total DFT energy (no corrections) = -4.67 eV per atom
crystal system = tetragonal

extended XYZ file:
```
24
Lattice="-6.114 -3.013 3.585 -1.972 -5.409 0.364 -0.682 -2.135 5.315" Properties=species:S:1:pos:R:3 pbc="T T T"
Np -3.057 -1.507 1.793
Np -2.855 -4.525 3.736
Co -6.354 -5.590 7.214
Co -6.999 -7.227 4.739
Co -6.013 -4.523 4.557
Co -4.283 -6.788 5.604
H -5.912 -6.032 5.528
H 0.000 0.000 0.000
H -7.820 -9.501 7.255
H -3.726 -2.426 3.638
H -4.539 -4.056 5.018
H -3.950 -6.364 4.082
H -7.228 -8.023 6.124
H -1.818 -2.672 3.304
H -2.945 -6.371 2.408
H -3.044 -2.818 5.227
H -6.860 -7.089 7.538
H -2.186 -3.606 1.890
H -2.055 -4.112 5.825
H -3.934 -5.077 1.810
H -7.451 -8.566 8.669
H -4.094 -3.361 2.224
H -4.938 -5.070 3.484
H -3.550 -5.350 5.616
```

---

11.
Below is crystalline NpCo5H11 at its relaxed geometry, with properties calculated at the PBE-GGA level.

total DFT energy (no corrections) = -4.96 eV per atom
crystal system = monoclinic

extended XYZ file:
```
17
Lattice="-2.892 -2.660 -2.403 -1.121 -0.926 4.995 -2.156 4.734 -0.025" Properties=species:S:1:pos:R:3 pbc="T T T"
Np 0.000 0.000 0.000
Co -2.849 -0.178 -1.660
Co -3.320 1.326 4.227
Co -3.685 3.322 2.458
Co -2.484 -2.173 0.109
Co -1.638 1.904 2.485
H -3.307 1.654 2.547
H -2.862 -0.505 0.020
H -3.499 1.251 -0.818
H -2.669 -0.102 3.385
H -3.195 2.773 0.836
H -2.973 -1.624 1.731
H -1.446 -1.330 -1.201
H -4.651 -0.616 1.820
H -1.517 1.765 0.747
H -1.240 0.248 2.092
H -4.928 0.900 0.475
```